First-principles (PBE-GGA) data for HfMn2V after structural relaxation, as listed in Alexandria.

Cell: 6.0478 6.0478 6.0478 Å, 90.00 90.00 90.00°
Space group Fm-3m (No. 225)
Inequivalent atoms, fractional coordinates:
Hf: 0.0000 0.0000 0.0000 x4
Mn: 0.2500 0.2500 0.2500 x8
V: 0.0000 0.0000 0.5000 x4

- density (g cm⁻³) = 10.189
- energy above the most stable polymorph in this dataset (eV/f.u.) = 0.08
- calculated total energy (eV/atom) = -9.4831
- calculated volume (Å³/atom) = 13.82
- formation energy from the elements (eV per atom) = -0.13